# 1
First-principles (PBE) data for an optimized crystal structure of LiCu2S4, as listed in Alexandria.

a b c (Å): 4.3458 4.3458 7.5633
angles (deg): 73.30 73.30 90.00
Atoms (fractional coordinates):
1 S 0.7452 0.7452 0.5095
2 S 0.2548 0.2548 0.4905
3 S 0.0000 0.5000 0.0000
4 S 0.5000 0.0000 0.0000
5 Cu 0.5886 0.5886 0.8227
6 Cu 0.4114 0.4114 0.1773
7 Li 0.0000 0.0000 0.0000

- Crystal system: tetragonal
- Space group: I4/mmm (139)
- E_form (uncorrected): 14.5 kJ per mole of atoms


# 2
First-principles (PBE) data for an optimized crystal structure of DySnBi2O6, as listed in Alexandria.

a b c (Å): 6.0785 6.0785 6.0245
angles (deg): 59.70 59.70 59.99
Last column: magnetic moment on the atom in μB.
Atoms (fractional coordinates):
1 Dy 0.8052 0.8052 0.5844  0.04
2 Sn 0.3060 0.3060 0.0820  0.29
3 Bi 0.5257 0.5257 0.4228  0.02
4 Bi 0.0274 0.0274 0.9178  0.03
5 O 0.6357 0.1782 0.2419  0.11
6 O 0.1781 0.9442 0.2419  0.11
7 O 0.9443 0.6357 0.2419  0.11
8 O 0.4589 0.6572 0.7608  0.04
9 O 0.6572 0.1230 0.7608  0.04
10 O 0.1231 0.4589 0.7608  0.04

- Crystal system: trigonal
- Space group: R3 (146)
- E_form (uncorrected): -169.0 kJ per mole of atoms


# 3
First-principles (PBE) data for an optimized crystal structure of ReIrOs, as listed in Alexandria.

a b c (Å): 4.7513 4.7513 4.7513
angles (deg): 146.64 131.58 60.07
Atoms (fractional coordinates):
1 Ir 0.0002 0.0002 0.0000
2 Os 0.3307 0.3307 0.0000
3 Re 0.6691 0.6691 0.0000

- ΔE to the lowest computed polymorph: 0.015 eV/atom
- Crystal system: orthorhombic
- Space group: Imm2 (44)
- Formation energy: -0.0325 eV per atom


# 4
First-principles (PBE) data for an optimized crystal structure of Y3Np2Se8, as listed in Alexandria.

a b c (Å): 6.9190 8.1383 8.3868
angles (deg): 119.02 106.56 90.00
Last column: magnetic moment on the atom in μB.
Atoms (fractional coordinates):
1 Y 0.5000 0.0000 0.0000  0.00
2 Y 0.0000 0.2595 0.0000  0.00
3 Y 0.0000 0.7405 0.0000  0.00
4 Np 0.3342 0.2579 0.5157  3.70
5 Np 0.6658 0.7422 0.4843  3.70
6 Se 0.8863 0.6115 0.2230  -0.07
7 Se 0.1137 0.3885 0.7770  -0.07
8 Se 0.9215 0.1178 0.2356  -0.04
9 Se 0.0785 0.8822 0.7644  -0.04
10 Se 0.5853 0.6379 0.7503  -0.07
11 Se 0.5853 0.1124 0.7503  -0.07
12 Se 0.4147 0.8876 0.2497  -0.07
13 Se 0.4147 0.3621 0.2497  -0.07

- Crystal system: monoclinic
- Space group: C2/m (12)
- E_form (uncorrected): -141.7 kJ per mole of atoms